1.
{
  "formula": "LiReSi2",
  "functional": "SCAN",
  "state": "single point on PBEsol structure",
  "spacegroup": "No. 139",
  "e_above_lowest_polymorph_kcal_per_mol_atoms": 2.23,
  "formation_energy_uncorrected_mev_per_atom": -49,
  "total_magnetization_mub_per_atom": 0.000,
  "lattice_angstrom": [[3.859, 0.000, 0.000], [-1.929, 3.922, 0.003], [0.000, 1.896, 3.361]],
  "species": ["Si", "Si", "Li", "Re"],
  "frac_coords": [[0.250, 0.500, 0.250], [0.750, 0.500, 0.750], [0.500, 0.000, 0.500], [0.000, 0.000, 0.000]]
}

---

2.
{
  "formula": "CaMg6Cu6",
  "functional": "SCAN",
  "state": "single point on PBEsol structure",
  "spacegroup": "No. 191",
  "formation_energy_ev_per_atom": -0.121,
  "total_magnetization_mub_per_atom": 0.000,
  "lattice_angstrom": [[-3.730, 3.037, 1.966], [3.388, -2.337, 3.172], [5.520, 7.174, -0.609]],
  "species": ["Ca", "Cu", "Cu", "Cu", "Cu", "Cu", "Cu", "Mg", "Mg", "Mg", "Mg", "Mg", "Mg"],
  "frac_coords": [[0.000, 0.000, 0.000], [0.500, 0.000, 0.757], [0.000, 0.500, 0.757], [0.500, 0.000, 0.243], [0.500, 0.500, 0.757], [0.500, 0.500, 0.243], [0.000, 0.500, 0.243], [0.000, 0.000, 0.338], [0.333, 0.667, 0.500], [0.333, 0.667, 0.000], [0.000, 0.000, 0.662], [0.667, 0.333, 0.000], [0.667, 0.333, 0.500]]
}

---

3.
{
  "formula": "Nb2Pd2I",
  "functional": "SCAN",
  "state": "single point on PBEsol structure",
  "spacegroup": "No. 139",
  "formation_energy_uncorrected_mev_per_atom": 226,
  "total_magnetization_mub_per_atom": 0.000,
  "lattice_angstrom": [[-0.166, -3.131, -2.083], [3.758, -0.060, -0.208], [-1.540, -2.220, 6.861]],
  "species": ["Pd", "Pd", "Nb", "Nb", "I"],
  "frac_coords": [[0.603, 0.603, 0.206], [0.397, 0.397, 0.794], [0.750, 0.250, 0.500], [0.250, 0.750, 0.500], [0.000, 0.000, 0.000]]
}

---

4.
{
  "formula": "Ga2PdPt2",
  "functional": "SCAN",
  "state": "single point on PBEsol structure",
  "spacegroup": "No. 127",
  "formation_energy_ev_per_atom": -0.610,
  "total_magnetization_mub_per_atom": 0.000,
  "lattice_angstrom": [[2.801, 0.000, 0.000], [0.000, 7.317, 0.000], [0.000, 0.000, 7.317]],
  "species": ["Pd", "Pd", "Ga", "Ga", "Ga", "Ga", "Pt", "Pt", "Pt", "Pt"],
  "frac_coords": [[0.000, 0.500, 0.500], [0.000, 0.000, 0.000], [0.500, 0.838, 0.338], [0.500, 0.162, 0.662], [0.500, 0.338, 0.162], [0.500, 0.662, 0.838], [0.000, 0.638, 0.138], [0.000, 0.138, 0.362], [0.000, 0.362, 0.862], [0.000, 0.862, 0.638]]
}

---

5.
{
  "formula": "Li2ReBi",
  "functional": "SCAN",
  "state": "single point on PBEsol structure",
  "spacegroup": "No. 122",
  "formation_energy_ev_per_atom": 0.746,
  "total_magnetization_mub_per_atom": 0.000,
  "lattice_angstrom": [[-1.511, -3.918, 3.175], [-2.746, -4.462, -2.447], [3.757, -4.317, 0.825]],
  "species": ["Re", "Re", "Li", "Li", "Li", "Li", "Bi", "Bi"],
  "frac_coords": [[0.250, 0.500, 0.500], [0.500, 0.000, 0.000], [0.375, 0.486, 0.014], [0.875, 0.514, 0.986], [0.139, 0.986, 0.486], [0.611, 0.014, 0.514], [0.750, 0.500, 0.500], [0.000, 0.000, 0.000]]
}

---

6.
{
  "formula": "BeIr2Rh",
  "functional": "SCAN",
  "state": "single point on PBEsol structure",
  "spacegroup": "No. 99",
  "formation_energy_ev_per_atom": -0.342,
  "total_magnetization_mub_per_atom": 0.000,
  "lattice_angstrom": [[2.727, 0.000, 0.000], [0.000, 2.727, 0.000], [0.000, 0.000, 6.579]],
  "species": ["Ir", "Ir", "Be", "Rh"],
  "frac_coords": [[0.500, 0.500, 0.250], [0.000, 0.000, 0.963], [0.500, 0.500, 0.747], [0.000, 0.000, 0.540]]
}

---

7.
{
  "formula": "Mg4ZnCu",
  "functional": "SCAN",
  "state": "single point on PBEsol structure",
  "spacegroup": "No. 216",
  "formation_energy_ev_per_atom": 0.354,
  "total_magnetization_mub_per_atom": 0.000,
  "lattice_angstrom": [[5.514, 0.000, 0.000], [2.757, 4.775, 0.000], [2.757, 1.592, 4.502]],
  "species": ["Mg", "Mg", "Mg", "Mg", "Zn", "Cu"],
  "frac_coords": [[0.876, 0.375, 0.375], [0.375, 0.375, 0.876], [0.375, 0.375, 0.375], [0.375, 0.876, 0.375], [0.750, 0.750, 0.750], [0.000, 0.000, 0.000]]
}

---

8.
{
  "formula": "RbFe2Au",
  "functional": "SCAN",
  "state": "single point on PBEsol structure",
  "spacegroup": "No. 225",
  "formation_energy_ev_per_atom": 1.049,
  "total_magnetization_mub_per_atom": 1.524,
  "lattice_angstrom": [[4.650, 0.000, 0.000], [2.325, 4.027, 0.000], [2.325, 1.342, 3.797]],
  "species": ["Fe", "Fe", "Au", "Rb"],
  "frac_coords": [[0.750, 0.750, 0.750], [0.250, 0.250, 0.250], [0.500, 0.500, 0.500], [0.000, 0.000, 0.000]]
}

---

9.
{
  "formula": "MnTl2Hg",
  "functional": "SCAN",
  "state": "single point on PBEsol structure",
  "spacegroup": "No. 139",
  "formation_energy_ev_per_atom": 0.186,
  "e_above_lowest_polymorph_kcal_per_mol_atoms": 2.69,
  "total_magnetization_mub_per_atom": 1.071,
  "lattice_angstrom": [[4.446, 0.000, 0.000], [0.000, 4.446, 0.000], [-2.223, -2.223, 4.581]],
  "species": ["Tl", "Tl", "Hg", "Mn"],
  "frac_coords": [[0.250, 0.750, 0.500], [0.750, 0.250, 0.500], [0.500, 0.500, 0.000], [0.000, 0.000, 0.000]]
}

---

10.
{
  "formula": "LiZrPb",
  "functional": "SCAN",
  "state": "single point on PBEsol structure",
  "spacegroup": "No. 42",
  "formation_energy_ev_per_atom": -0.009,
  "total_magnetization_mub_per_atom": 0.000,
  "lattice_angstrom": [[3.141, 0.007, 0.000], [-1.284, 2.867, 0.000], [-0.929, -1.437, 7.602]],
  "species": ["Zr", "Li", "Pb"],
  "frac_coords": [[0.332, 0.332, 0.663], [0.005, 0.005, 0.011], [0.663, 0.663, 0.326]]
}

---

11.
{
  "formula": "Y2Mg",
  "functional": "SCAN",
  "state": "single point on PBEsol structure",
  "spacegroup": "No. 141",
  "formation_energy_ev_per_atom": 0.006,
  "total_magnetization_mub_per_atom": 0.295,
  "lattice_angstrom": [[-0.019, -4.857, -0.149], [4.014, -0.100, 2.737], [-10.060, 2.147, 10.520]],
  "species": ["Y", "Y", "Y", "Y", "Y", "Y", "Y", "Y", "Mg", "Mg", "Mg", "Mg"],
  "frac_coords": [[0.251, 0.251, 0.502], [0.501, 0.001, 0.002], [0.666, 0.166, 0.332], [0.584, 0.584, 0.168], [0.834, 0.334, 0.668], [0.749, 0.749, 0.498], [0.999, 0.499, 0.998], [0.416, 0.416, 0.832], [0.334, 0.834, 0.669], [0.084, 0.084, 0.169], [0.166, 0.666, 0.331], [0.916, 0.916, 0.831]]
}

---

12.
{
  "formula": "ReAgSN2",
  "functional": "SCAN",
  "state": "single point on PBEsol structure",
  "spacegroup": "No. 123",
  "formation_energy_uncorrected_mev_per_atom": 428,
  "total_magnetization_mub_per_atom": 0.000,
  "lattice_angstrom": [[3.790, 0.000, 0.000], [0.000, 3.790, 0.000], [0.000, 0.000, 5.041]],
  "species": ["N", "N", "Ag", "S", "Re"],
  "frac_coords": [[0.500, 0.000, 0.000], [0.000, 0.500, 0.000], [0.500, 0.500, 0.500], [0.000, 0.000, 0.500], [0.000, 0.000, 0.000]]
}

---

| no. | calculated volume (Å³ per atom) |
| --- | --- |
| 1 | 12.71 |
| 2 | 16.32 |
| 3 | 19.49 |
| 4 | 14.99 |
| 5 | 17.44 |
| 6 | 12.23 |
| 7 | 19.76 |
| 8 | 17.78 |
| 9 | 22.64 |
| 10 | 22.84 |
| 11 | 28.15 |
| 12 | 14.48 |